{
  "formula": "UTc2PC",
  "functional": "PBE",
  "state": "optimized geometry",
  "dos_ef_per_ev_fu": 6.665,
  "crystal_system": "orthorhombic",
  "formation_enthalpy_0k_ev_per_atom": -0.421,
  "final_energy_ev_per_cell": -97.519,
  "lattice": [[1.859, -5.642, 0.000], [1.859, 5.642, 0.000], [0.000, 0.000, 7.134]],
  "species": ["U", "U", "Tc", "Tc", "Tc", "Tc", "P", "P", "C", "C"],
  "frac_coords": [[0.045, 0.955, 0.750], [0.955, 0.045, 0.250], [0.332, 0.668, 0.558], [0.332, 0.668, 0.942], [0.668, 0.332, 0.058], [0.668, 0.332, 0.442], [0.234, 0.766, 0.250], [0.766, 0.234, 0.750], [0.500, 0.500, 0.000], [0.500, 0.500, 0.500]]
}